Below is a relaxed structure of Rb2SrIn2, with properties calculated at the PBE level.

It has space group I4/mmm (No. 139), with a = 5.090 Å, b = 5.090 Å, c = 17.168 Å, α = 90.00°, β = 90.00° and γ = 90.00°. The distinct sites, in fractional coordinates, are Rb at (0.000, 0.500, 0.250), Sr at (0.000, 0.000, 0.000) and In at (0.000, 0.000, 0.415).

The magnetic moment is 0.00 μB per formula unit. The value obtained for the energy relative to the elements is 35 meV/atom. The energy above the most stable polymorph in this dataset is 34 meV per atom.



Below is a relaxed structure of RbSrIn3, with properties calculated at the PBE level.

It has space group Pm-3m (No. 221), with a = 6.158 Å, b = 6.158 Å, c = 6.158 Å, α = 90.00°, β = 90.00° and γ = 90.00°. The distinct sites, in fractional coordinates, are Rb at (0.000, 0.000, 0.000), Sr at (0.500, 0.500, 0.500) and In at (0.000, 0.000, 0.500).

The magnetic moment is 0.00 μB per formula unit. The value obtained for the energy relative to the elements is 600 meV/atom. The energy above the most stable polymorph in this dataset is 247 meV per atom.